1.
Material: Nd2YEr3S6
Method: DFT, GGA-PBE
State: optimized geometry

Results
The density is 6.838 g/cm³. Its uncorrected formation energy is -1988 meV/atom. The calculation puts the total moment at 0.00 μB/f.u.

abc: 17.234 3.913 7.962
angles: 90.00 104.24 90.00
Space group C2/m (No. 12)
Inequivalent atoms, fractional coordinates:
Nd 0.168 0.000 0.335 (multiplicity 4)
Y 0.000 0.500 0.000 (multiplicity 2)
Er 0.000 0.500 0.500 (multiplicity 2)
Er 0.168 0.000 0.833 (multiplicity 4)
S 0.005 0.000 0.749 (multiplicity 4)
S 0.162 0.500 0.594 (multiplicity 4)
S 0.167 0.500 0.071 (multiplicity 4)

=====

2.
Material: Al2InMo
Method: DFT, GGA-PBE
State: optimized geometry

Results
The density is 6.394 g/cm³. The calculation puts the total moment at 0.00 μB/f.u. The calculation puts the formation energy at 45 meV/atom.

abc: 2.894 4.786 4.963
angles: 90.00 90.00 90.00
Space group Pmm2 (No. 25)
Inequivalent atoms, fractional coordinates:
Al 0.000 0.000 0.000 (multiplicity 1)
Al 0.500 0.500 0.187 (multiplicity 1)
In 0.000 0.500 0.680 (multiplicity 1)
Mo 0.500 0.000 0.471 (multiplicity 1)

=====

3.
Material: Sr3Zn2GaAg9
Method: DFT, GGA-PBE
State: optimized geometry

Results
The density is 6.359 g/cm³. The calculation puts the total moment at 0.00 μB/f.u. The calculation puts the formation energy at -54 meV/atom.

abc: 7.0984 7.0984 8.5822
angles: 90.00 90.00 120.00
Space group P-3m1 (No. 164)
Inequivalent atoms, fractional coordinates:
Sr 0.0000 0.0000 0.0000 (multiplicity 1)
Sr 0.3333 0.6667 0.6653 (multiplicity 2)
Zn 0.3333 0.6667 0.1661 (multiplicity 2)
Ga 0.0000 0.0000 0.5000 (multiplicity 1)
Ag 0.0000 0.5000 0.0000 (multiplicity 3)
Ag 0.1656 0.3313 0.3292 (multiplicity 6)

=====

4.
Material: ReAsSe
Method: DFT, GGA-PBE
State: optimized geometry

Results
The density is 9.731 g/cm³. Its uncorrected formation energy is 469 meV/atom. The calculation puts the total moment at 0.00 μB/f.u.

abc: 2.991 5.090 15.249
angles: 90.00 90.00 90.00
Space group Fmm2 (No. 42)
Inequivalent atoms, fractional coordinates:
Re 0.000 0.000 0.000 (multiplicity 4)
As 0.000 0.000 0.363 (multiplicity 4)
Se 0.000 0.000 0.636 (multiplicity 4)

=====

5.
Material: NaInPdPb
Method: DFT, GGA-PBE
State: optimized geometry

Results
The density is 8.605 g/cm³. The calculation puts the total moment at 0.00 μB/f.u. The calculation puts the formation energy at -174 meV/atom.

abc: 7.037 7.037 7.037
angles: 90.00 90.00 90.00
Space group F-43m (No. 216)
Inequivalent atoms, fractional coordinates:
Na 0.000 0.000 0.000 (multiplicity 4)
In 0.250 0.250 0.750 (multiplicity 4)
Pd 0.000 0.000 0.500 (multiplicity 4)
Pb 0.250 0.250 0.250 (multiplicity 4)

=====

6.
Material: Ho2TmSc
Method: DFT, GGA-PBE
State: optimized geometry

Results
The excess energy over the best structure of this formula in the dataset comes out at 9.2 kJ/mol of atoms. The density is 7.693 g/cm³. The calculation puts the total moment at 0.00 μB/f.u. The calculation puts the formation energy at 125 meV/atom.

abc: 7.772 7.772 7.772
angles: 90.00 90.00 90.00
Space group Fm-3m (No. 225)
Inequivalent atoms, fractional coordinates:
Ho 0.250 0.250 0.250 (multiplicity 8)
Tm 0.000 0.000 0.000 (multiplicity 4)
Sc 0.000 0.000 0.500 (multiplicity 4)

=====

7.
Material: SrAcInSn
Method: DFT, GGA-PBE
State: optimized geometry

Results
The excess energy over the best structure of this formula in the dataset comes out at 0.0 kJ/mol of atoms. The density is 6.356 g/cm³. The calculation puts the total moment at 0.00 μB/f.u. The calculation puts the formation energy at -589 meV/atom.

abc: 4.640 4.999 12.348
angles: 90.00 90.00 90.00
Space group Amm2 (No. 38)
Inequivalent atoms, fractional coordinates:
Sr 0.000 0.000 0.000 (multiplicity 2)
Ac 0.500 0.000 0.275 (multiplicity 2)
In 0.500 0.000 0.559 (multiplicity 2)
Sn 0.000 0.000 0.716 (multiplicity 2)

=====

8.
Material: Tb3PrHo4S8
Method: DFT, GGA-PBE
State: optimized geometry

Results
The density is 7.417 g/cm³. Its uncorrected formation energy is -1986 meV/atom. The calculation puts the total moment at 0.00 μB/f.u.

abc: 7.8484 7.8484 19.3128
angles: 90.00 90.00 120.00
Space group R-3m (No. 166, hexagonal axes)
Inequivalent atoms, fractional coordinates:
Tb 0.0000 0.5000 0.0000 (multiplicity 9)
Pr 0.0000 0.0000 0.0000 (multiplicity 3)
Ho 0.0000 0.0000 0.5000 (multiplicity 3)
Ho 0.0000 0.5000 0.5000 (multiplicity 9)
S 0.0000 0.0000 0.2485 (multiplicity 6)
S 0.0071 0.5035 0.2467 (multiplicity 18)